<1>
This record from Alexandria via LeMat-Bulk describes a geometry-optimized HfAl4V structure. The functional is PBE.

Calculated values
- magnetization (μB/f.u.) = 0.30
- D(E_F) (states/eV per cell) = 8.15

```
data_HfAl4V
_cell_length_a 4.986
_cell_length_b 6.970
_cell_length_c 7.212
_cell_angle_alpha 61.24
_cell_angle_beta 87.75
_cell_angle_gamma 70.26
_symmetry_space_group_name_H-M 'P -1'
_symmetry_Int_Tables_number 2
loop_
_symmetry_equiv_pos_as_xyz
'x,y,z'
'-x,-y,-z'
loop_
_atom_site_label
_atom_site_fract_x
_atom_site_fract_y
_atom_site_fract_z
Hf1 0.184 0.152 0.435
Al1 0.077 0.360 0.718
Al2 0.088 0.890 0.887
Al3 0.375 0.750 0.381
Al4 0.472 0.543 0.804
V1 0.000 0.500 0.000
V2 0.500 0.000 0.000
```


<2>
This record from Alexandria via LeMat-Bulk describes a geometry-optimized HfAl4V structure. The functional is PBE.

Calculated values
- magnetization (μB/f.u.) = 0.00
- D(E_F) (states/eV per cell) = 11.46

```
data_HfAl4V
_cell_length_a 7.290
_cell_length_b 7.290
_cell_length_c 7.290
_cell_angle_alpha 90.00
_cell_angle_beta 90.00
_cell_angle_gamma 90.00
_symmetry_space_group_name_H-M 'F -4 3 m'
_symmetry_Int_Tables_number 216
_symmetry_space_group_name_Hall 'F -4 2 3'
loop_
_atom_site_label
_atom_site_fract_x
_atom_site_fract_y
_atom_site_fract_z
Hf1 0.000 0.000 0.000
Al1 0.125 0.125 0.625
V1 0.250 0.250 0.250
```


Ranking the structures above by energy, <2> is first and the second is 0.111 eV/atom behind.